Here is TbBi4S7 after structural relaxation from Alexandria. Energies are from GGA-PBE.

The value obtained for the size of the total moment is 0.00 μB per formula unit. The uncorrected formation energy comes out at -0.65 eV/atom.

The space group is Cm (No. 8) and the conventional cell measures 13.6716, 4.0340 and 12.1871 Å, with angles of 90.00, 107.37 and 90.00 degrees. The distinct sites, in fractional coordinates, are Tb at (0.0000, 0.0000, 0.0000), Bi at (0.1046, 0.0000, 0.4368), Bi at (0.2430, 0.0000, 0.8744), Bi at (0.2876, 0.5000, 0.2605), Bi at (0.4198, 0.0000, 0.5998), S at (0.0625, 0.0000, 0.6482), S at (0.1193, 0.5000, 0.9515), S at (0.1450, 0.0000, 0.2220), S at (0.2647, 0.5000, 0.4742), S at (0.3449, 0.5000, 0.7964), S at (0.3942, 0.0000, 0.0728) and S at (0.4443, 0.0000, 0.3863).